1.
Entry from Alexandria: a relaxed Er11Zn9Rh4 crystal (PBE).

Results
* formation energy from the elements: -0.552 eV per atom
* magnetization: 0.0 μB per cell

a = 13.6821 Å, b = 20.3906 Å, c = 3.6361 Å
α = 90.00°, β = 90.00°, γ = 90.00°
Last column: nearest neighbours and their distance in Å.
Space group Cmmm (No. 65)
Inequivalent atoms, fractional coordinates:
Er: 0.0000 0.0000 0.0000 (multiplicity 2)  8 Zn 3.02
Er: 0.0000 0.1701 0.0000 (multiplicity 4)  8 Zn 3.01-3.21, 2 Er 3.37
Er: 0.0000 0.3638 0.0000 (multiplicity 4)  4 Rh 2.83, 4 Zn 3.12
Er: 0.2188 0.5000 0.0000 (multiplicity 4)  4 Rh 2.82, 4 Zn 3.13
Er: 0.2462 0.1685 0.0000 (multiplicity 8)  2 Rh 2.81, 4 Zn 3.03-3.04
Zn: 0.0000 0.5000 0.5000 (multiplicity 2)  4 Rh 2.74
Zn: 0.1078 0.2630 0.5000 (multiplicity 8)  1 Zn 2.95, 1 Rh 2.98, 8 Er 3.01-3.26
Zn: 0.1342 0.0767 0.5000 (multiplicity 8)  8 Er 3.02-3.21, 1 Rh 3.04, 1 Zn 3.13
Rh: 0.1448 0.4069 0.5000 (multiplicity 8)  3 Zn 2.74-3.04, 6 Er 2.81-2.83


2.
Entry from Alexandria: a relaxed LiPrBeGa crystal (PBE).

Results
* formation energy from the elements: -0.148 eV per atom
* magnetization: 0.0 μB per cell

a = 6.5497 Å, b = 6.5497 Å, c = 6.5497 Å
α = 90.00°, β = 90.00°, γ = 90.00°
Last column: nearest neighbours and their distance in Å.
Space group F-43m (No. 216)
Inequivalent atoms, fractional coordinates:
Li: 0.0000 0.0000 0.0000 (multiplicity 4)  4 Pr 2.84, 4 Ga 2.84
Pr: 0.2500 0.2500 0.2500 (multiplicity 4)  4 Li 2.84, 4 Be 2.84
Be: 0.0000 0.0000 0.5000 (multiplicity 4)  4 Ga 2.84, 4 Pr 2.84
Ga: 0.2500 0.2500 0.7500 (multiplicity 4)  4 Li 2.84, 4 Be 2.84